Density functional theory data (PBE+U) for a relaxed ZnFe4CoO8 crystal.

E above lowest polymorph in kJ/mol of formula units: 0.0
Density in g cm⁻³: 5.18
Final energy in eV/atom: -6.11
Magnetization in μB/cell: 50.992

Lattice parameters (Å, degrees): 6.0007 6.0007 14.6754 90.00 90.00 120.00
Space group R3m (No. 160, hexagonal axes)
Symmetry-distinct sites (fractional):
Zn 0.0000 0.0000 0.0000 [3 per cell]
Fe 0.0000 0.0000 0.3825 [3 per cell]
Fe 0.0048 0.5024 0.4999 [9 per cell]
Co 0.0000 0.0000 0.6173 [3 per cell]
O 0.0000 0.0000 0.2527 [3 per cell]
O 0.0000 0.0000 0.7500 [3 per cell]
O 0.0195 0.5097 0.7595 [9 per cell]
O 0.1798 0.3596 0.5730 [9 per cell]